No. 1
The following is a PBE calculation of an optimized crystal structure of Mg5Cd2RhAu2, from Alexandria.

Cell: 3.1533 11.3351 11.3351 Å, 90.00 90.00 90.00°
Closest atoms and distances in Å follow each position.
Fractional coordinates of all 20 atoms:
Au 0.0000 0.1389 0.6389  6 Mg 2.73-2.75, 1 Cd 2.96
Mg 0.5000 0.3150 0.5461  2 Rh 2.67, 2 Au 2.75
Mg 0.5000 0.0000 0.5000  4 Au 2.73
Mg 0.5000 0.0461 0.8150  2 Rh 2.67, 2 Au 2.75
Cd 0.0000 0.8233 0.6767  1 Au 2.96, 2 Cd 3.15, 2 Mg 3.24
Cd 0.0000 0.3233 0.8233  1 Au 2.96, 2 Cd 3.15, 2 Mg 3.24
Rh 0.0000 0.0000 0.0000  8 Mg 2.67
Rh 0.0000 0.5000 0.5000  8 Mg 2.67
Mg 0.5000 0.6850 0.4539  2 Rh 2.67, 2 Au 2.75
Mg 0.5000 0.5461 0.6850  2 Rh 2.67, 2 Au 2.75
Cd 0.0000 0.6767 0.1767  1 Au 2.96, 2 Cd 3.15, 2 Mg 3.24
Mg 0.5000 0.5000 0.0000  4 Au 2.73
Cd 0.0000 0.1767 0.3233  1 Au 2.96, 2 Cd 3.15, 2 Mg 3.24
Au 0.0000 0.3611 0.1389  6 Mg 2.73-2.75, 1 Cd 2.96
Au 0.0000 0.6389 0.8611  6 Mg 2.73-2.75, 1 Cd 2.96
Mg 0.5000 0.1850 0.0461  2 Rh 2.67, 2 Au 2.75
Au 0.0000 0.8611 0.3611  6 Mg 2.73-2.75, 1 Cd 2.96
Mg 0.5000 0.4539 0.3150  2 Rh 2.67, 2 Au 2.75
Mg 0.5000 0.8150 0.9539  2 Rh 2.67, 2 Au 2.75
Mg 0.5000 0.9539 0.1850  2 Rh 2.67, 2 Au 2.75

Calculated values
* energy: -54.79 eV for the cell shown
* energy of formation: -35.6 kJ per mole of atoms
* mass density: 6.912 g/cm³
* space-group type: No. 127



No. 2
The following is a PBE calculation of an optimized crystal structure of PrEuPd2, from Alexandria.

Cell: 4.2362 4.2362 7.4051 Å, 73.38 73.38 60.00°
Closest atoms and distances in Å follow each position.
Fractional coordinates of all 4 atoms:
Eu 0.0000 0.0000 0.0000  6 Pd 3.03
Pr 0.5000 0.5000 0.5000  6 Pd 2.98
Pd 0.7523 0.7523 0.7431  3 Pr 2.98, 3 Eu 3.03
Pd 0.2477 0.2477 0.2569  3 Pr 2.98, 3 Eu 3.03

Calculated values
* energy: -27.84 eV for the cell shown
* energy of formation: -57.9 kJ per mole of atoms
* mass density: 7.731 g/cm³
* space-group type: No. 166
* relative energy among the computed polymorphs: 108.2 meV per atom



No. 3
The following is a PBE calculation of an optimized crystal structure of LiAcLuTc, from Alexandria.

Cell: 5.0892 5.0892 5.0892 Å, 60.00 60.00 60.00°
Closest atoms and distances in Å follow each position.
Fractional coordinates of all 4 atoms:
Lu 0.2500 0.2500 0.2500  4 Li 3.12, 4 Tc 3.12
Ac 0.7500 0.7500 0.7500  4 Tc 3.12, 4 Li 3.12
Li 0.0000 0.0000 0.0000  4 Ac 3.12, 4 Lu 3.12
Tc 0.5000 0.5000 0.5000  4 Lu 3.12, 4 Ac 3.12

Calculated values
* energy: -20.59 eV for the cell shown
* energy of formation: 7.8 kJ per mole of atoms
* mass density: 9.031 g/cm³
* space-group type: No. 216



No. 4
The following is a PBE calculation of an optimized crystal structure of Sr3MgPd3, from Alexandria.

Cell: 4.4827 6.0943 14.6964 Å, 90.00 90.00 111.58°
Closest atoms and distances in Å follow each position.
Fractional coordinates of all 14 atoms:
Pd 0.2062 0.4124 0.2500  2 Pd 2.84, 2 Sr 3.17
Pd 0.9251 0.8502 0.5857  2 Mg 2.71, 1 Pd 2.84
Pd 0.0749 0.1498 0.0857  2 Mg 2.71, 1 Pd 2.84
Pd 0.9251 0.8502 0.9143  2 Mg 2.71, 1 Pd 2.84
Sr 0.5089 0.0179 0.2500  7 Pd 3.17-3.43
Mg 0.5000 0.0000 0.0000  4 Pd 2.71
Sr 0.4911 0.9821 0.7500  7 Pd 3.17-3.43
Pd 0.0749 0.1498 0.4143  2 Mg 2.71, 1 Pd 2.84
Sr 0.2125 0.4250 0.8934  6 Pd 3.21-3.31
Pd 0.7938 0.5876 0.7500  2 Pd 2.84, 2 Sr 3.17
Sr 0.2125 0.4250 0.6066  6 Pd 3.21-3.31
Sr 0.7875 0.5750 0.1066  6 Pd 3.21-3.31
Sr 0.7875 0.5750 0.3934  6 Pd 3.21-3.31
Mg 0.5000 0.0000 0.5000  4 Pd 2.71

Calculated values
* energy: -52.92 eV for the cell shown
* energy of formation: -58.4 kJ per mole of atoms
* mass density: 5.394 g/cm³
* space-group type: No. 63



No. 5
The following is a PBE calculation of an optimized crystal structure of La2Pm6Sm3Er, from Alexandria.

Cell: 6.3245 6.3245 12.1234 Å, 95.03 95.03 119.99°
Closest atoms and distances in Å follow each position.
Fractional coordinates of all 12 atoms:
Sm 0.8337 0.1663 0.5000  6 Pm 3.63-3.65, 6 Sm 3.64-3.66
Pm 0.4152 0.0838 0.2516  6 Pm 3.63-3.66, 3 Sm 3.63-3.65, 1 Er 3.66, 2 La 3.67-3.68
Er 0.0000 0.0000 0.0000  6 La 3.65, 6 Pm 3.66-3.67
Pm 0.2478 0.2478 0.7481  3 Sm 3.63-3.64, 6 Pm 3.63-3.66, 1 Er 3.67, 2 La 3.67
Pm 0.7522 0.7522 0.2519  3 Sm 3.63-3.64, 6 Pm 3.63-3.66, 1 Er 3.67, 2 La 3.67
La 0.3332 0.6668 0.0000  3 Er 3.65, 3 La 3.65, 6 Pm 3.67-3.68
Sm 0.1663 0.8337 0.5000  6 Pm 3.63-3.65, 6 Sm 3.64-3.66
Pm 0.9162 0.5848 0.7484  6 Pm 3.63-3.66, 3 Sm 3.63-3.65, 1 Er 3.66, 2 La 3.67-3.68
Pm 0.0838 0.4152 0.2516  6 Pm 3.63-3.66, 3 Sm 3.63-3.65, 1 Er 3.66, 2 La 3.67-3.68
Pm 0.5848 0.9162 0.7484  6 Pm 3.63-3.66, 3 Sm 3.63-3.65, 1 Er 3.66, 2 La 3.67-3.68
La 0.6668 0.3332 0.0000  3 Er 3.65, 3 La 3.65, 6 Pm 3.67-3.68
Sm 0.5000 0.5000 0.5000  6 Pm 3.63-3.64, 6 Sm 3.65-3.66

Calculated values
* energy: -56.87 eV for the cell shown
* energy of formation: 1.7 kJ per mole of atoms
* mass density: 7.093 g/cm³
* space-group type: No. 12



No. 6
The following is a PBE calculation of an optimized crystal structure of HgAs2PBr, from Alexandria.

Cell: 5.2942 5.2942 5.3608 Å, 90.00 90.00 90.00°
Closest atoms and distances in Å follow each position.
Fractional coordinates of all 5 atoms:
P 0.5000 0.5000 0.5000  4 Br 3.74, 8 As 3.77
As 0.0000 0.5000 0.0000  2 Hg 2.65
Br 0.0000 0.0000 0.5000  2 Hg 2.68
As 0.5000 0.0000 0.0000  2 Hg 2.65
Hg 0.0000 0.0000 0.0000  4 As 2.65, 2 Br 2.68

Calculated values
* energy: -10.53 eV for the cell shown
* mass density: 5.098 g/cm³
* raw formation energy: 1.23 eV/atom
* space-group type: No. 123
* relative energy among the computed polymorphs: 659.3 meV per atom



Number 1: total magnetization 0.0 μB per cell. Number 2: total magnetization 7.0 μB per cell. Number 3: total magnetization 0.0 μB per cell. Number 4: total magnetization 0.0 μB per cell. Number 5: total magnetization 0.0 μB per cell. Number 6: total magnetization 0.1 μB per cell.